1.
Computed, not measured: crystalline SbPtSe2 at its relaxed geometry at the GGA-PBE level of DFT.

abc: 6.2971 6.2971 7.2723
angles: 64.35 64.35 90.00
Positions (direct):
Pt: 0.0000 0.0000 0.0000
Se: 0.6752 0.1250 0.2500
Se: 0.0748 0.6250 0.2500
Sb: 0.2500 0.7500 0.5000
Se: 0.3750 0.3248 0.7500
Pt: 0.7500 0.2500 0.5000
Sb: 0.5000 0.5000 0.0000
Se: 0.8750 0.9252 0.7500

Values from the calculation:
**Formation energy (no corrections)**: 0.26 eV per formula unit

---

2.
Computed, not measured: crystalline Rb2Ga2Ge2H at its relaxed geometry at the GGA-PBE level of DFT.

abc: 4.0345 6.8437 9.0126
angles: 52.63 102.92 90.02
Positions (direct):
Ge: 0.2683 0.5961 0.5366
Ge: 0.7317 0.4039 0.4634
Rb: 0.3915 0.8788 0.7825
Rb: 0.6085 0.1212 0.2175
Ga: 0.0982 0.6292 0.1962
Ga: 0.9018 0.3708 0.8038
H: 0.0000 0.0000 0.0000

Values from the calculation:
**VASP energy**: -2.9796 eV per atom

---

3.
Computed, not measured: crystalline NbCd2GaO6 at its relaxed geometry at the GGA-PBE level of DFT.

abc: 4.9269 5.2673 5.2673
angles: 90.00 90.00 90.00
Positions (direct):
O: 0.7128 0.2487 0.7513
Nb: 0.5842 0.5000 0.5000
O: 0.2039 0.0000 0.0000
Cd: 0.0109 0.0000 0.5000
O: 0.7128 0.7513 0.7513
O: 0.7128 0.2487 0.2487
O: 0.2073 0.5000 0.5000
Cd: 0.0109 0.5000 0.0000
O: 0.7128 0.7513 0.2487
Ga: 0.5784 0.0000 0.0000

Values from the calculation:
**Formation energy (no corrections)**: -16.05 eV per formula unit

---

4.
Computed, not measured: crystalline Gd2ZrTi at its relaxed geometry at the GGA-PBE level of DFT.

abc: 3.2702 3.2702 11.4211
angles: 81.77 81.77 60.00
Each line ends with the local moment (μB).
Positions (direct):
Zr: 0.5000 0.5000 0.5000  0.13
Ti: 0.0000 0.0000 0.0000  1.09
Gd: 0.9139 0.9139 0.2583  -7.12
Gd: 0.0861 0.0861 0.7417  -7.12

Values from the calculation:
**Energy of formation**: 0.4234 eV/atom

---

5.
Computed, not measured: crystalline Na2B4O7 at its relaxed geometry at the GGA-PBE level of DFT.

abc: 6.8338 9.7113 13.4470
angles: 104.20 92.27 106.17
Positions (direct):
O: 0.6721 0.6272 0.6286
O: 0.9076 0.8634 0.6222
O: 0.6439 0.2469 0.7828
B: 0.0789 0.8450 0.5750
B: 0.5431 0.1212 0.8310
Na: 0.7049 0.4025 0.5251
O: 0.0056 0.1389 0.8822
Na: 0.5549 0.8561 0.8860
B: 0.1192 0.8172 0.0460
B: 0.7114 0.5993 0.7195
O: 0.7173 0.4566 0.2153
O: 0.3024 0.7503 0.7219
B: 0.4230 0.8723 0.6733
B: 0.4569 0.8788 0.1690
B: 0.8635 0.6621 0.4166
O: 0.1405 0.2897 0.6830
O: 0.2338 0.5003 0.1045
Na: 0.6738 0.3996 0.0308
B: 0.2456 0.5988 0.7007
O: 0.9585 0.2690 0.0530
O: 0.2708 0.3561 0.8648
O: 0.0924 0.1366 0.3778
B: 0.5770 0.1277 0.3267
O: 0.4403 0.0139 0.2408
Na: 0.2951 0.5975 0.4749
O: 0.9944 0.8611 0.1178
B: 0.6994 0.7531 0.5790
Na: 0.5872 0.8291 0.3734
O: 0.3561 0.7531 0.2172
B: 0.8186 0.6660 0.9128
B: 0.7637 0.7815 0.0969
B: 0.1365 0.3379 0.5834
O: 0.1514 0.5006 0.6085
O: 0.3312 0.8561 0.0666
O: 0.6688 0.1439 0.9334
O: 0.0650 0.7490 0.4784
B: 0.2363 0.2185 0.9031
O: 0.2208 0.2963 0.1872
B: 0.3006 0.2469 0.4210
O: 0.8595 0.7103 0.3170
O: 0.3347 0.1139 0.8486
Na: 0.1344 0.9046 0.2988
O: 0.7335 0.0695 0.3702
O: 0.3279 0.3728 0.3714
O: 0.8486 0.4994 0.3915
O: 0.0415 0.7310 0.9470
Na: 0.8656 0.0954 0.7012
O: 0.6954 0.7302 0.9853
O: 0.6939 0.6918 0.4679
O: 0.5597 0.9861 0.7592
O: 0.7292 0.6439 0.1352
O: 0.4666 0.1811 0.4095
O: 0.6810 0.4475 0.7129
O: 0.3190 0.5525 0.2871
B: 0.1814 0.3340 0.0872
B: 0.7720 0.6103 0.2240
O: 0.2665 0.9305 0.6298
B: 0.6979 0.3983 0.8020
O: 0.9350 0.2510 0.5216
B: 0.8808 0.1828 0.9540
B: 0.2886 0.4007 0.2805
O: 0.7662 0.4997 0.8955
O: 0.7792 0.7037 0.8128
O: 0.6653 0.8861 0.1514
O: 0.3046 0.2698 0.0147
Na: 0.9248 0.1073 0.2005
O: 0.6976 0.2497 0.2781
O: 0.5334 0.8189 0.5905
B: 0.3021 0.6017 0.1980
Na: 0.4128 0.1709 0.6266
O: 0.2827 0.5434 0.7847
B: 0.2280 0.3897 0.7760
O: 0.3061 0.3082 0.5321
B: 0.7544 0.4012 0.2993
Na: 0.0752 0.8927 0.7995
Na: 0.4451 0.1439 0.1140
Na: 0.3262 0.6004 0.9692
B: 0.9211 0.1550 0.4250

Values from the calculation:
**Distance to the lowest polymorph of the same formula**: 0.0 meV per atom
**Formation energy (no corrections)**: -30.75 eV per formula unit

---

6.
Computed, not measured: crystalline SmIn2Pd9 at its relaxed geometry at the GGA-PBE level of DFT.

abc: 4.0948 4.0948 12.2121
angles: 90.00 90.00 90.00
Positions (direct):
Pd: 0.0000 0.5000 0.8245
Pd: 0.5000 0.5000 0.3358
Pd: 0.0000 0.5000 0.1755
Pd: 0.5000 0.5000 0.0000
Pd: 0.5000 0.5000 0.6642
In: 0.0000 0.0000 0.3396
Sm: 0.0000 0.0000 0.0000
In: 0.0000 0.0000 0.6604
Pd: 0.5000 0.0000 0.8245
Pd: 0.0000 0.5000 0.5000
Pd: 0.5000 0.0000 0.1755
Pd: 0.5000 0.0000 0.5000

Values from the calculation:
**Energy of formation**: -0.5558 eV/atom

---

Number 1: total magnetic moment 0.0000 μB per atom. Number 2: total magnetic moment 0.0000 μB per atom. Number 3: total magnetic moment 0.0000 μB per atom. Number 4: total magnetic moment 3.2430 μB per atom. Number 5: total magnetic moment 0.0000 μB per atom. Number 6: total magnetic moment 0.0000 μB per atom.